LaPr2Sm4Tm: relaxed, PBE.

Cell lengths 9.6524, 9.6524, 11.9781 Å; angles 128.35, 128.35, 88.46 degrees
Fractional positions:
La: 0.0000 0.5000 0.0000
La: 0.0000 0.5000 0.5000
Pr: 0.5000 0.0000 0.0000
Pr: 0.5000 0.0000 0.5000
Pr: 0.0000 0.0000 0.5000
Pr: 0.5000 0.5000 0.0000
Sm: 0.2425 0.7589 0.0004
Sm: 0.7411 0.2575 0.4996
Sm: 0.2589 0.7425 0.5004
Sm: 0.7575 0.2411 0.9996
Sm: 0.7503 0.7494 0.9937
Sm: 0.7506 0.7497 0.5063
Sm: 0.2494 0.2503 0.4937
Sm: 0.2497 0.2506 0.0063
Tm: 0.5000 0.5000 0.5000
Tm: 0.0000 0.0000 0.0000

ΔH_f (0 K)   0.37 eV/atom